# PBE Ac2HfPbO6, optimized geometry
# energy relative to the elements, uncorrected: -2808 meV/atom
# crystal system: tetragonal
# total magnetic moment: 0.0 Bohr magnetons per cell
# energy: -79.7 eV per cell
# N(E_F): 0.0000 states/eV per atom
data_Ac2HfPbO6
_space_group_name_H-M_alt 'P 1'
_space_group_IT_number 1
_space_group_name_Hall 'P 1'
_cell_length_a 5.6424
_cell_length_b 5.7464
_cell_length_c 5.7464
_cell_angle_alpha 90.00
_cell_angle_beta 90.00
_cell_angle_gamma 90.00
loop_
_atom_site_label
_atom_site_type_symbol
_atom_site_fract_x
_atom_site_fract_y
_atom_site_fract_z
Hf1 Hf 0.5965 0.0000 0.0000
O1 O 0.2452 0.0000 0.0000
O2 O 0.7400 0.7692 0.2308
O3 O 0.7400 0.2308 0.2308
O4 O 0.7400 0.2308 0.7692
O5 O 0.1202 0.5000 0.5000
O6 O 0.7400 0.7692 0.7692
Ac1 Ac 0.9917 0.5000 0.0000
Ac2 Ac 0.9917 0.0000 0.5000
Pb1 Pb 0.5416 0.5000 0.5000